(1)
A relaxed structure of Sn5Hg12Se3, computed with PBE-GGA.

CIF file:
```
data_Sn5Hg12Se3
_chemical_formula_sum 'Sn20 Hg48 Se12'
_cell_length_a 14.7759
_cell_length_b 14.7759
_cell_length_c 14.7759
_cell_angle_alpha 109.47
_cell_angle_beta 109.47
_cell_angle_gamma 109.47
_space_group_name_H-M_alt 'P 1'
_space_group_IT_number 1
loop_
_space_group_symop_operation_xyz
'x,y,z'
loop_
_atom_site_label
_atom_site_type_symbol
_atom_site_fract_x
_atom_site_fract_y
_atom_site_fract_z
_atom_site_occupancy
Sn1 Sn 0.0000 0.0000 0.0000 1
Sn2 Sn 0.0000 0.0000 0.5000 1
Sn3 Sn 0.0000 0.5000 0.0000 1
Sn4 Sn 0.0000 0.5000 0.5000 1
Sn5 Sn 0.1250 0.7500 0.8750 1
Sn6 Sn 0.1250 0.8750 0.2500 1
Sn7 Sn 0.2500 0.1250 0.8750 1
Sn8 Sn 0.2500 0.6250 0.3750 1
Sn9 Sn 0.3750 0.2500 0.6250 1
Sn10 Sn 0.3750 0.6250 0.7500 1
Sn11 Sn 0.5000 0.0000 0.0000 1
Sn12 Sn 0.5000 0.0000 0.5000 1
Sn13 Sn 0.5000 0.5000 0.0000 1
Sn14 Sn 0.5000 0.5000 0.5000 1
Sn15 Sn 0.6250 0.3750 0.2500 1
Sn16 Sn 0.6250 0.7500 0.3750 1
Sn17 Sn 0.7500 0.3750 0.6250 1
Sn18 Sn 0.7500 0.8750 0.1250 1
Sn19 Sn 0.8750 0.1250 0.7500 1
Sn20 Sn 0.8750 0.2500 0.1250 1
Hg1 Hg 0.0571 0.2325 0.1194 1
Hg2 Hg 0.0571 0.3246 0.9377 1
Hg3 Hg 0.0623 0.6194 0.3868 1
Hg4 Hg 0.0623 0.9429 0.6754 1
Hg5 Hg 0.1132 0.7325 0.6754 1
Hg6 Hg 0.1132 0.8806 0.4377 1
Hg7 Hg 0.1194 0.0571 0.2325 1
Hg8 Hg 0.1194 0.5623 0.8868 1
Hg9 Hg 0.1754 0.2325 0.6132 1
Hg10 Hg 0.1754 0.4429 0.5623 1
Hg11 Hg 0.2325 0.1194 0.0571 1
Hg12 Hg 0.2325 0.6132 0.1754 1
Hg13 Hg 0.2675 0.3246 0.8868 1
Hg14 Hg 0.2675 0.4429 0.3806 1
Hg15 Hg 0.3246 0.8868 0.2675 1
Hg16 Hg 0.3246 0.9377 0.0571 1
Hg17 Hg 0.3806 0.2675 0.4429 1
Hg18 Hg 0.3806 0.6132 0.9377 1
Hg19 Hg 0.3868 0.0623 0.6194 1
Hg20 Hg 0.3868 0.8246 0.7675 1
Hg21 Hg 0.4377 0.1132 0.8806 1
Hg22 Hg 0.4377 0.8246 0.5571 1
Hg23 Hg 0.4429 0.3806 0.2675 1
Hg24 Hg 0.4429 0.5623 0.1754 1
Hg25 Hg 0.5571 0.4377 0.8246 1
Hg26 Hg 0.5571 0.6194 0.7325 1
Hg27 Hg 0.5623 0.1754 0.4429 1
Hg28 Hg 0.5623 0.8868 0.1194 1
Hg29 Hg 0.6132 0.1754 0.2325 1
Hg30 Hg 0.6132 0.9377 0.3806 1
Hg31 Hg 0.6194 0.3868 0.0623 1
Hg32 Hg 0.6194 0.7325 0.5571 1
Hg33 Hg 0.6754 0.0623 0.9429 1
Hg34 Hg 0.6754 0.1132 0.7325 1
Hg35 Hg 0.7325 0.5571 0.6194 1
Hg36 Hg 0.7325 0.6754 0.1132 1
Hg37 Hg 0.7675 0.3868 0.8246 1
Hg38 Hg 0.7675 0.8806 0.9429 1
Hg39 Hg 0.8246 0.5571 0.4377 1
Hg40 Hg 0.8246 0.7675 0.3868 1
Hg41 Hg 0.8806 0.4377 0.1132 1
Hg42 Hg 0.8806 0.9429 0.7675 1
Hg43 Hg 0.8868 0.1194 0.5623 1
Hg44 Hg 0.8868 0.2675 0.3246 1
Hg45 Hg 0.9377 0.0571 0.3246 1
Hg46 Hg 0.9377 0.3806 0.6132 1
Hg47 Hg 0.9429 0.6754 0.0623 1
Hg48 Hg 0.9429 0.7675 0.8806 1
Se1 Se 0.1250 0.2500 0.3750 1
Se2 Se 0.1250 0.3750 0.7500 1
Se3 Se 0.2500 0.3750 0.1250 1
Se4 Se 0.2500 0.8750 0.6250 1
Se5 Se 0.3750 0.1250 0.2500 1
Se6 Se 0.3750 0.7500 0.1250 1
Se7 Se 0.6250 0.2500 0.8750 1
Se8 Se 0.6250 0.8750 0.7500 1
Se9 Se 0.7500 0.1250 0.3750 1
Se10 Se 0.7500 0.6250 0.8750 1
Se11 Se 0.8750 0.6250 0.2500 1
Se12 Se 0.8750 0.7500 0.6250 1
```

Values from the calculation:
E_tot = -1.6107 eV/atom
DOS at the Fermi energy = 45.76 states/eV/cell
SG = No. 230
formation energy from raw total energies = 181 kJ/mol of formula units

(2)
A relaxed structure of Pr3AlTl4Te8, computed with PBE-GGA.

CIF file:
```
data_Pr3AlTl4Te8
_chemical_formula_sum 'Pr3 Al1 Tl4 Te8'
_cell_length_a 9.6619
_cell_length_b 9.6619
_cell_length_c 9.6619
_cell_angle_alpha 55.81
_cell_angle_beta 55.81
_cell_angle_gamma 55.81
_space_group_name_H-M_alt 'P 1'
_space_group_IT_number 1
loop_
_space_group_symop_operation_xyz
'x,y,z'
loop_
_atom_site_label
_atom_site_type_symbol
_atom_site_fract_x
_atom_site_fract_y
_atom_site_fract_z
_atom_site_occupancy
Pr1 Pr 0.0000 0.5000 0.5000 1
Pr2 Pr 0.5000 0.0000 0.5000 1
Pr3 Pr 0.5000 0.5000 0.0000 1
Al1 Al 0.0000 0.0000 0.0000 1
Tl1 Tl 0.0000 0.0000 0.5000 1
Tl2 Tl 0.0000 0.5000 0.0000 1
Tl3 Tl 0.5000 0.0000 0.0000 1
Tl4 Tl 0.5000 0.5000 0.5000 1
Te1 Te 0.2220 0.2220 0.7639 1
Te2 Te 0.2220 0.7639 0.2220 1
Te3 Te 0.2361 0.7780 0.7780 1
Te4 Te 0.2581 0.2581 0.2581 1
Te5 Te 0.7419 0.7419 0.7419 1
Te6 Te 0.7639 0.2220 0.2220 1
Te7 Te 0.7780 0.2361 0.7780 1
Te8 Te 0.7780 0.7780 0.2361 1
```

Values from the calculation:
E_tot = -4.1438 eV/atom
DOS at the Fermi energy = 1.47 states/eV/cell
SG = No. 166
formation energy from raw total energies = -1314 kJ/mol of formula units

(3)
A relaxed structure of Zr2Pa17, computed with PBE-GGA.

CIF file:
```
data_Zr2Pa17
_chemical_formula_sum 'Zr2 Pa17'
_cell_length_a 7.9511
_cell_length_b 7.9511
_cell_length_c 7.9511
_cell_angle_alpha 81.05
_cell_angle_beta 81.05
_cell_angle_gamma 81.05
_space_group_name_H-M_alt 'P 1'
_space_group_IT_number 1
loop_
_space_group_symop_operation_xyz
'x,y,z'
loop_
_atom_site_label
_atom_site_type_symbol
_atom_site_fract_x
_atom_site_fract_y
_atom_site_fract_z
_atom_site_occupancy
Zr1 Zr 0.1917 0.1917 0.1917 1
Zr2 Zr 0.8083 0.8083 0.8083 1
Pa1 Pa 0.0000 0.5000 0.5000 1
Pa2 Pa 0.1517 0.1517 0.6618 1
Pa3 Pa 0.1517 0.6618 0.1517 1
Pa4 Pa 0.1845 0.5000 0.8155 1
Pa5 Pa 0.1845 0.8155 0.5000 1
Pa6 Pa 0.3382 0.8483 0.8483 1
Pa7 Pa 0.4073 0.4073 0.4073 1
Pa8 Pa 0.5000 0.0000 0.5000 1
Pa9 Pa 0.5000 0.1845 0.8155 1
Pa10 Pa 0.5000 0.5000 0.0000 1
Pa11 Pa 0.5000 0.8155 0.1845 1
Pa12 Pa 0.5927 0.5927 0.5927 1
Pa13 Pa 0.6618 0.1517 0.1517 1
Pa14 Pa 0.8155 0.1845 0.5000 1
Pa15 Pa 0.8155 0.5000 0.1845 1
Pa16 Pa 0.8483 0.3382 0.8483 1
Pa17 Pa 0.8483 0.8483 0.3382 1
```

Values from the calculation:
E_tot = -9.1571 eV/atom
DOS at the Fermi energy = 47.93 states/eV/cell
SG = No. 166

(4)
A relaxed structure of HfZr4Sc2, computed with PBE-GGA.

CIF file:
```
data_HfZr4Sc2
_chemical_formula_sum 'Hf1 Zr4 Sc2'
_cell_length_a 6.0081
_cell_length_b 6.0081
_cell_length_c 6.0081
_cell_angle_alpha 104.44
_cell_angle_beta 104.44
_cell_angle_gamma 120.08
_space_group_name_H-M_alt 'P 1'
_space_group_IT_number 1
loop_
_space_group_symop_operation_xyz
'x,y,z'
loop_
_atom_site_label
_atom_site_type_symbol
_atom_site_fract_x
_atom_site_fract_y
_atom_site_fract_z
_atom_site_occupancy
Hf1 Hf 0.0000 0.0000 0.0000 1
Zr1 Zr 0.2186 0.2186 0.6071 1
Zr2 Zr 0.3885 0.7814 0.0000 1
Zr3 Zr 0.6115 0.6115 0.3929 1
Zr4 Zr 0.7814 0.3885 0.0000 1
Sc1 Sc 0.2500 0.7500 0.5000 1
Sc2 Sc 0.7500 0.2500 0.5000 1
```

Values from the calculation:
distance to the lowest polymorph of the same formula = 0.1824 eV/atom
E_tot = -7.9274 eV/atom
DOS at the Fermi energy = 5.05 states/eV/cell
SG = No. 121

(5)
A relaxed structure of InSnRh, computed with PBE-GGA.

CIF file:
```
data_InSnRh
_chemical_formula_sum 'In1 Sn1 Rh1'
_cell_length_a 6.5305
_cell_length_b 6.5305
_cell_length_c 6.5305
_cell_angle_alpha 151.84
_cell_angle_beta 151.84
_cell_angle_gamma 40.25
_space_group_name_H-M_alt 'P 1'
_space_group_IT_number 1
loop_
_space_group_symop_operation_xyz
'x,y,z'
loop_
_atom_site_label
_atom_site_type_symbol
_atom_site_fract_x
_atom_site_fract_y
_atom_site_fract_z
_atom_site_occupancy
In1 In 0.0000 0.0000 0.0000 1
Sn1 Sn 0.2817 0.2817 0.0000 1
Rh1 Rh 0.6429 0.6429 0.0000 1
```

Values from the calculation:
E_tot = -4.9020 eV/atom
DOS at the Fermi energy = 1.62 states/eV/cell
SG = No. 107

(6)
A relaxed structure of Zr2Ni2Hg, computed with PBE-GGA.

CIF file:
```
data_Zr2Ni2Hg
_chemical_formula_sum 'Zr4 Ni4 Hg2'
_cell_length_a 7.2392
_cell_length_b 7.2392
_cell_length_c 3.3082
_cell_angle_alpha 90.00
_cell_angle_beta 90.00
_cell_angle_gamma 90.00
_space_group_name_H-M_alt 'P 1'
_space_group_IT_number 1
loop_
_space_group_symop_operation_xyz
'x,y,z'
loop_
_atom_site_label
_atom_site_type_symbol
_atom_site_fract_x
_atom_site_fract_y
_atom_site_fract_z
_atom_site_occupancy
Zr1 Zr 0.1685 0.3315 0.0000 1
Zr2 Zr 0.3315 0.8315 0.0000 1
Zr3 Zr 0.6685 0.1685 0.0000 1
Zr4 Zr 0.8315 0.6685 0.0000 1
Ni1 Ni 0.1234 0.6234 0.5000 1
Ni2 Ni 0.3766 0.1234 0.5000 1
Ni3 Ni 0.6234 0.8766 0.5000 1
Ni4 Ni 0.8766 0.3766 0.5000 1
Hg1 Hg 0.0000 0.0000 0.5000 1
Hg2 Hg 0.5000 0.5000 0.5000 1
```

Values from the calculation:
distance to the lowest polymorph of the same formula = 0.0000 eV/atom
E_tot = -6.2094 eV/atom
DOS at the Fermi energy = 8.23 states/eV/cell
SG = No. 127

(7)
A relaxed structure of Pr2Sb4IrRh3, computed with PBE-GGA.

CIF file:
```
data_Pr2Sb4IrRh3
_chemical_formula_sum 'Pr2 Sb4 Ir1 Rh3'
_cell_length_a 4.5362
_cell_length_b 4.5362
_cell_length_c 10.6113
_cell_angle_alpha 90.00
_cell_angle_beta 90.00
_cell_angle_gamma 90.00
_space_group_name_H-M_alt 'P 1'
_space_group_IT_number 1
loop_
_space_group_symop_operation_xyz
'x,y,z'
loop_
_atom_site_label
_atom_site_type_symbol
_atom_site_fract_x
_atom_site_fract_y
_atom_site_fract_z
_atom_site_occupancy
Pr1 Pr 0.0000 0.5000 0.2439 1
Pr2 Pr 0.5000 0.0000 0.7561 1
Sb1 Sb 0.0000 0.0000 0.5000 1
Sb2 Sb 0.0000 0.5000 0.8669 1
Sb3 Sb 0.5000 0.0000 0.1331 1
Sb4 Sb 0.5000 0.5000 0.5000 1
Ir1 Ir 0.5000 0.5000 0.0000 1
Rh1 Rh 0.0000 0.0000 0.0000 1
Rh2 Rh 0.0000 0.5000 0.6243 1
Rh3 Rh 0.5000 0.0000 0.3757 1
```

Values from the calculation:
E_tot = -6.4516 eV/atom
DOS at the Fermi energy = 6.94 states/eV/cell
SG = No. 115
formation energy from raw total energies = -729 kJ/mol of formula units

(8)
A relaxed structure of Tb5Ho5Er, computed with PBE-GGA.

CIF file:
```
data_Tb5Ho5Er
_chemical_formula_sum 'Tb5 Ho5 Er1'
_cell_length_a 6.8239
_cell_length_b 6.8251
_cell_length_c 8.4964
_cell_angle_alpha 75.06
_cell_angle_beta 75.14
_cell_angle_gamma 70.06
_space_group_name_H-M_alt 'P 1'
_space_group_IT_number 1
loop_
_space_group_symop_operation_xyz
'x,y,z'
loop_
_atom_site_label
_atom_site_type_symbol
_atom_site_fract_x
_atom_site_fract_y
_atom_site_fract_z
_atom_site_occupancy
Tb1 Tb 0.0000 0.0000 0.0000 1
Tb2 Tb 0.1465 0.1459 0.3628 1
Tb3 Tb 0.3150 0.3138 0.6367 1
Tb4 Tb 0.6850 0.6862 0.3633 1
Tb5 Tb 0.8535 0.8541 0.6372 1
Ho1 Ho 0.2257 0.6485 0.2746 1
Ho2 Ho 0.3512 0.7727 0.7262 1
Ho3 Ho 0.5000 0.0000 0.0000 1
Ho4 Ho 0.6488 0.2273 0.2738 1
Ho5 Ho 0.7743 0.3515 0.7254 1
Er1 Er 0.0000 0.5000 0.0000 1
```

Values from the calculation:
distance to the lowest polymorph of the same formula = 0.0000 eV/atom
E_tot = -4.4507 eV/atom
DOS at the Fermi energy = 16.13 states/eV/cell
SG = No. 2